# 1
8
Lattice="3.521 0.000 0.000 0.000 7.861 0.000 0.000 0.000 6.134" Properties=species:S:1:pos:R:3 comment="NaErAsO | OQMD | PBE-GGA | relaxed" total_magnetization_mub_per_fu=0.00 density_kg_m3=5501 space_group="No. 26" relative_energy_ev_per_atom=0.082 pbc="T T T"
Na 0.000 0.052 0.000
Na 0.000 7.809 3.067
Er 1.760 2.698 1.618
Er 1.760 5.163 4.684
As 1.760 2.298 4.660
As 1.760 5.562 1.593
O 0.000 1.608 1.587
O 0.000 6.252 4.654

# 2
29
Lattice="-4.289 4.289 4.289 4.289 -4.289 4.289 4.289 4.289 -4.289" Properties=species:S:1:pos:R:3 comment="Co16Ni13 | OQMD | PBE-GGA | relaxed" total_magnetization_mub_per_fu=34.93 density_kg_m3=8976 space_group="No. 217" formation_enthalpy_0k_ev_per_atom=0.06 relative_energy_ev_per_atom=0.000 pbc="T T T"
Co 2.785 2.785 -2.785
Co 2.408 0.781 -0.781
Co 2.408 -0.781 0.781
Co 2.785 -2.785 2.785
Co 6.170 0.781 0.781
Co 0.781 2.408 -0.781
Co 0.781 -0.781 2.408
Co 1.504 1.504 1.504
Co -0.781 2.408 0.781
Co -0.781 0.781 2.408
Co 3.508 3.508 1.881
Co 3.508 1.881 3.508
Co -2.785 2.785 2.785
Co 0.781 6.170 0.781
Co 0.781 0.781 6.170
Co 1.881 3.508 3.508
Ni 0.000 0.000 0.000
Ni 4.636 1.213 -1.213
Ni 4.636 -1.213 1.213
Ni 3.942 1.213 1.213
Ni 3.076 3.076 -0.347
Ni 3.076 -0.347 3.076
Ni 1.213 4.636 -1.213
Ni 1.213 -1.213 4.636
Ni 1.213 3.942 1.213
Ni 1.213 1.213 3.942
Ni -1.213 4.636 1.213
Ni -1.213 1.213 4.636
Ni -0.347 3.076 3.076